BaSb2Mo: relaxed, PBE-GGA.

Calculated values
Uncorrected energy, hartree per atom: -0.1782
Energy relative to the lowest polymorph listed for this composition, eV per atom: 0.5849
Raw formation energy, meV per atom: 401.5
DOS at the Fermi energy, states/eV/cell: 4.157
Volume, Å³/cell: 231.6

abc: 4.652 4.652 10.703
angles: 90.00 90.00 90.00
Space group I-4m2 (No. 119)
Inequivalent atoms, fractional coordinates:
1 Ba 0.000 0.000 0.000
2 Sb 0.000 0.000 0.500
3 Sb 0.000 0.500 0.250
4 Mo 0.000 0.500 0.750